Entry 1:
The following is a PBE-GGA calculation of an optimized crystal structure of Pm3PaCo3, from Alexandria via LeMat-Bulk.

a b c (Å): 6.5910 6.5910 14.6921
angles (deg): 114.12 114.12 33.25
Positions (direct):
Pm (0.0139, 0.0139, 0.1313)
Pm (0.0894, 0.0894, 0.4200)
Pm (0.2311, 0.2311, 0.6956)
Pm (0.7689, 0.7689, 0.3044)
Pm (0.9106, 0.9106, 0.5800)
Pm (0.9861, 0.9861, 0.8687)
Pa (0.2783, 0.2783, 0.1076)
Pa (0.7217, 0.7217, 0.8924)
Co (0.3693, 0.3693, 0.9623)
Co (0.4153, 0.4153, 0.4288)
Co (0.4301, 0.4301, 0.2571)
Co (0.5699, 0.5699, 0.7429)
Co (0.5847, 0.5847, 0.5712)
Co (0.6307, 0.6307, 0.0377)

## Properties
calculated volume: 22.61 Å³ per atom
Fermi-level density of states: 0.772 states/eV/atom
energy of formation: -0.180 eV per atom
space-group type: C2/m (12)

=====

Entry 2:
The following is a PBE-GGA calculation of an optimized crystal structure of Ac3Pr8Th, from Alexandria via LeMat-Bulk.

a b c (Å): 9.3619 9.3619 9.3619
angles (deg): 137.52 118.59 77.52
Positions (direct):
Ac (0.0000, 0.0000, 0.0000)
Ac (0.1294, 0.6294, 0.5000)
Ac (0.8706, 0.3706, 0.5000)
Pr (0.1441, 0.4330, 0.9919)
Pr (0.2406, 0.0288, 0.4738)
Pr (0.4410, 0.1521, 0.0081)
Pr (0.4450, 0.9712, 0.2118)
Pr (0.5550, 0.7668, 0.5262)
Pr (0.5590, 0.5670, 0.7111)
Pr (0.7594, 0.2332, 0.7882)
Pr (0.8559, 0.8479, 0.2889)
Th (0.5000, 0.5000, 0.0000)

## Properties
calculated volume: 39.45 Å³ per atom
Fermi-level density of states: 1.460 states/eV/atom
energy of formation: 0.260 eV per atom
space-group type: I222 (23)

=====

Entry 3:
The following is a PBE-GGA calculation of an optimized crystal structure of CaSnW3, from Alexandria via LeMat-Bulk.

a b c (Å): 4.6958 4.6958 4.6958
angles (deg): 90.00 90.00 90.00
Positions (direct):
Ca (0.0000, 0.0000, 0.0000)
Sn (0.5000, 0.5000, 0.5000)
W (0.0000, 0.0000, 0.5000)
W (0.0000, 0.5000, 0.0000)
W (0.5000, 0.0000, 0.0000)

## Properties
calculated volume: 20.71 Å³ per atom
Fermi-level density of states: 1.224 states/eV/atom
energy of formation: 2.999 eV per atom
space-group type: Pm-3m (221)